LiLa2TcSb PBE-GGA optimized geometry; SG = P4/mmm (123); total moment = 0.0000 μB per atom; raw formation energy = -205 meV/atom
1.0
-2.8812 2.5264 3.6302
-3.5817 0.5782 -3.2451
-2.1155 -4.5920 1.5167
Sb Li Tc La
1 1 1 2
Cartesian
-4.2892 -0.7437 0.9509
-1.7908 0.2891 -1.6226
0.0000 0.0000 0.0000
-1.0578 -2.2960 0.7583
-1.4406 1.2632 1.8151


LiScGaHg PBE-GGA optimized geometry; SG = F-43m (216); total moment = 0.0000 μB per atom; calculated formation energy = -0.421 eV/atom
1.0
4.7361 0.0000 0.0000
2.3680 4.1016 0.0000
2.3680 1.3672 3.8670
Sc Hg Ga Li
1 1 1 1
Cartesian
7.1041 4.1016 2.9002
0.0000 0.0000 0.0000
4.7361 2.7344 1.9335
2.3680 1.3672 0.9667